First-principles (GGA+U) data for LiDyMn2O4 after structural relaxation, as listed in Alexandria.

Unit cell a=5.396 b=3.259 c=5.454 alpha=90.00 beta=107.43 gamma=90.00
Fractional coordinates of all 8 atoms:
Li1 0.000 0.000 0.000
Dy1 0.000 0.500 0.500
Mn1 0.500 0.000 0.500
Mn2 0.500 0.500 0.000
O1 0.241 0.000 0.753
O2 0.280 0.500 0.267
O3 0.720 0.500 0.733
O4 0.759 0.000 0.247

Results
The crystal system is monoclinic. The calculation puts the total energy at -7.095 eV per atom. The calculation puts the magnetic moment at 5.989 μB/cell.